Record 1
Entry from the Alexandria database: a relaxed NpSi2PtRh crystal (PBE).

Results
crystal system: tetragonal
E_form (uncorrected): -0.76 eV per atom
Fermi-level density of states: 9.6 states/eV per cell

Cell: 4.012 4.012 5.909 Å, 109.85 109.85 90.00°
Each line ends with the local moment (μB).
Positions (direct):
Np1 0.000 0.000 0.000  3.67
Si1 0.386 0.386 0.773  -0.01
Si2 0.614 0.614 0.227  -0.01
Pt1 0.750 0.250 0.500  0.01
Rh1 0.250 0.750 0.500  0.03

=====

Record 2
Entry from the Alexandria database: a relaxed Li2Cr2Re crystal (PBE).

Results
crystal system: tetragonal
DFT formation energy: 398.8 kJ/mol of formula units
Fermi-level density of states: 3.1 states/eV per cell
E above lowest polymorph: 94 meV per atom

Cell: 3.379 3.379 5.534 Å, 72.22 72.22 90.00°
Positions (direct):
Li1 0.587 0.587 0.825
Li2 0.413 0.413 0.175
Cr1 0.250 0.750 0.500
Cr2 0.750 0.250 0.500
Re1 0.000 0.000 0.000

=====

Record 3
Entry from the Alexandria database: a relaxed Dy3TmSn crystal (PBE).

Results
crystal system: monoclinic
DFT formation energy: -144.0 kJ/mol of formula units
Fermi-level density of states: 21.1 states/eV per cell

Cell: 9.044 9.044 11.661 Å, 107.36 107.36 38.95°
Positions (direct):
Dy1 0.211 0.687 0.494
Dy2 0.003 0.190 0.249
Dy3 0.348 0.244 0.754
Dy4 0.313 0.789 0.006
Dy5 0.756 0.652 0.746
Dy6 0.244 0.348 0.254
Dy7 0.190 0.003 0.749
Dy8 0.789 0.313 0.506
Dy9 0.810 0.997 0.251
Dy10 0.652 0.756 0.246
Dy11 0.997 0.810 0.751
Dy12 0.687 0.211 0.994
Tm1 0.613 0.085 0.506
Tm2 0.387 0.915 0.494
Tm3 0.085 0.613 0.006
Tm4 0.915 0.387 0.994
Sn1 0.000 0.500 0.500
Sn2 0.584 0.416 0.750
Sn3 0.416 0.584 0.250
Sn4 0.500 0.000 0.000